Density functional theory data (PBE) for a geometry-optimized Cs2NaBeSe structure.

Summary:
SG = No. 123
Size of the total moment = 0.00 μB per formula unit
E_tot = -1.866 eV/atom
Formation energy (no corrections) = 182 meV/atom
Crystal system = tetragonal

Lattice parameters (Å, degrees): 7.0108 7.0108 5.0683 90.00 90.00 90.00
Closest atoms and distances in Å follow each position.
Sites, in units of the cell vectors:
Cs (0.0000, 0.5000, 0.0000)  2 Na 3.51
Cs (0.5000, 0.0000, 0.0000)  2 Na 3.51
Na (0.0000, 0.0000, 0.0000)  2 Se 2.53
Be (0.5000, 0.5000, 0.5000)  8 Cs 4.33
Se (0.0000, 0.0000, 0.5000)  2 Na 2.53